! PBE BeSi2Sn, relaxed; values from VASP
&SYSTEM
  ibrav = 0, nat = 4, ntyp = 3
/
ATOMIC_SPECIES
Be 9.01 Be.upf
Si 28.09 Si.upf
Sn 118.71 Sn.upf
CELL_PARAMETERS angstrom
0.0000 3.2593 3.2593
3.2593 0.0000 3.2593
3.2593 3.2593 0.0000
ATOMIC_POSITIONS angstrom
Be 0.0000 0.0000 0.0000
Si 1.6296 1.6296 1.6296
Si 4.8889 4.8889 4.8889
Sn 3.2593 3.2593 3.2593
! - E above lowest polymorph (eV/atom) = 0.3524